## BaNdFeO4 (GGA+U)

Data for a geometry-optimized BaNdFeO4 structure.

Unit cell a=3.9575 b=3.9575 c=13.2367 alpha=90.00 beta=90.00 gamma=90.00
Fractional coordinates of all 14 atoms:
Ba (0.0000, 0.0000, 0.0000)
Ba (0.5000, 0.5000, 0.5000)
Nd (0.0000, 0.0000, 0.7156)
Nd (0.5000, 0.5000, 0.2156)
Fe (0.0000, 0.0000, 0.3430)
Fe (0.5000, 0.5000, 0.8430)
O (0.0000, 0.0000, 0.1930)
O (0.0000, 0.0000, 0.5419)
O (0.0000, 0.5000, 0.3409)
O (0.0000, 0.5000, 0.8409)
O (0.5000, 0.0000, 0.3409)
O (0.5000, 0.0000, 0.8409)
O (0.5000, 0.5000, 0.0419)
O (0.5000, 0.5000, 0.6930)

Results
E   -7.051 eV per atom
Total moment   5.00 μB/f.u.